Model one:
DFT (GGA-PBE) results for an optimized crystal structure of KMg6Tl12.

It has space group R-3 (No. 148, hexagonal axes), with a = 14.9312 Å, b = 14.9312 Å, c = 8.1899 Å, α = 90.00°, β = 90.00° and γ = 120.00°. The asymmetric unit holds K at (0.0000, 0.0000, 0.0000), Mg at (0.0280, 0.2705, 0.3138), Tl at (0.0074, 0.1440, 0.6566) and Tl at (0.0586, 0.5668, 0.6790).

The value obtained for the density of states at the Fermi level is 26.59 states/eV/cell. The total moment is 0.0 Bohr magnetons per cell.

---

Model two:
DFT (GGA-PBE) results for an optimized crystal structure of KMg6Tl12.

It has space group Im-3 (No. 204), with a = 10.297 Å, b = 10.297 Å, c = 10.297 Å, α = 90.00°, β = 90.00° and γ = 90.00°. The asymmetric unit holds K at (0.000, 0.000, 0.000), Mg at (0.000, 0.356, 0.500) and Tl at (0.000, 0.189, 0.272).

The value obtained for the density of states at the Fermi level is 23.92 states/eV/cell. The total moment is 0.0 Bohr magnetons per cell.

---

model one ends up most stable, edging out the next structure by 0.049 eV/atom.

---

Model one:
DFT (GGA-PBE) results for an optimized crystal structure of KMgTl5.

It has space group P4/mmm (No. 123), with a = 4.662 Å, b = 4.662 Å, c = 10.825 Å, α = 90.00°, β = 90.00° and γ = 90.00°. The asymmetric unit holds K at (0.000, 0.000, 0.000), Mg at (0.500, 0.500, 0.500), Tl at (0.000, 0.000, 0.500) and Tl at (0.000, 0.500, 0.272).

The value obtained for the density of states at the Fermi level is 2.81 states/eV/cell. The total moment is 0.0 Bohr magnetons per cell.

---

Model two:
DFT (GGA-PBE) results for an optimized crystal structure of KMgTl5.

It has space group P4/mmm (No. 123), with a = 5.187 Å, b = 5.187 Å, c = 8.262 Å, α = 90.00°, β = 90.00° and γ = 90.00°. The asymmetric unit holds K at (0.000, 0.000, 0.000), Mg at (0.000, 0.000, 0.500), Tl at (0.000, 0.500, 0.297) and Tl at (0.500, 0.500, 0.000).

The value obtained for the density of states at the Fermi level is 4.71 states/eV/cell. The total moment is 0.0 Bohr magnetons per cell.

---

model one ends up most stable, edging out the next structure by 0.040 eV/atom.

---

Model one:
DFT (GGA-PBE) results for an optimized crystal structure of KMg2Tl8.

It has space group P4/mmm (No. 123), with a = 5.509 Å, b = 5.509 Å, c = 11.934 Å, α = 90.00°, β = 90.00° and γ = 90.00°. The asymmetric unit holds K at (0.000, 0.000, 0.000), Mg at (0.000, 0.000, 0.354), Tl at (0.000, 0.500, 0.201), Tl at (0.000, 0.500, 0.500) and Tl at (0.500, 0.500, 0.350).

The value obtained for the density of states at the Fermi level is 5.42 states/eV/cell. The total moment is 0.0 Bohr magnetons per cell.

---

Model two:
DFT (GGA-PBE) results for an optimized crystal structure of KMg2Tl8.

It has space group P4/mmm (No. 123), with a = 6.823 Å, b = 6.823 Å, c = 9.181 Å, α = 90.00°, β = 90.00° and γ = 90.00°. The asymmetric unit holds K at (0.000, 0.000, 0.000), Mg at (0.000, 0.500, 0.500) and Tl at (0.256, 0.256, 0.301).

The value obtained for the density of states at the Fermi level is 8.55 states/eV/cell. The total moment is 0.0 Bohr magnetons per cell.

---

model one ends up most stable, edging out the next structure by 0.135 eV/atom.

---

Model one:
DFT (GGA-PBE) results for an optimized crystal structure of KMgTl3.

It has space group Cmcm (No. 63), with a = 7.284 Å, b = 14.505 Å, c = 6.160 Å, α = 90.00°, β = 90.00° and γ = 90.00°. The asymmetric unit holds K at (0.000, 0.104, 0.250), Mg at (0.000, 0.500, 0.000), Tl at (0.000, 0.321, 0.750) and Tl at (0.236, 0.350, 0.250).

The value obtained for the density of states at the Fermi level is 8.87 states/eV/cell. The total moment is 0.0 Bohr magnetons per cell.

---

Model two:
DFT (GGA-PBE) results for an optimized crystal structure of KMgTl3.

It has space group P-6m2 (No. 187), with a = 7.3980 Å, b = 7.3980 Å, c = 3.4644 Å, α = 90.00°, β = 90.00° and γ = 120.00°. The asymmetric unit holds K at (0.0000, 0.0000, 0.0000), Mg at (0.6667, 0.3333, 0.0000) and Tl at (0.0492, 0.5246, 0.5000).

The value obtained for the density of states at the Fermi level is 3.88 states/eV/cell. The total moment is 0.0 Bohr magnetons per cell.

---

Model three:
DFT (GGA-PBE) results for an optimized crystal structure of KMgTl3.

It has space group Pm-3m (No. 221), with a = 6.118 Å, b = 6.118 Å, c = 6.118 Å, α = 90.00°, β = 90.00° and γ = 90.00°. The asymmetric unit holds K at (0.000, 0.000, 0.000), Mg at (0.500, 0.500, 0.500) and Tl at (0.000, 0.000, 0.500).

The value obtained for the density of states at the Fermi level is 5.74 states/eV/cell. The total moment is 0.0 Bohr magnetons per cell.

---

Model four:
DFT (GGA-PBE) results for an optimized crystal structure of KMgTl3.

It has space group Pm-3m (No. 221), with a = 5.668 Å, b = 5.668 Å, c = 5.668 Å, α = 90.00°, β = 90.00° and γ = 90.00°. The asymmetric unit holds K at (0.000, 0.000, 0.000), Mg at (0.500, 0.500, 0.500) and Tl at (0.000, 0.500, 0.500).

The value obtained for the density of states at the Fermi level is 4.14 states/eV/cell. The total moment is 0.0 Bohr magnetons per cell.

---

model one ends up most stable, edging out the next structure by 0.046 eV/atom.

---

Model one:
DFT (GGA-PBE) results for an optimized crystal structure of K2MgTl2.

It has space group Immm (No. 71), with a = 4.953 Å, b = 6.643 Å, c = 11.660 Å, α = 90.00°, β = 90.00° and γ = 90.00°. The asymmetric unit holds K at (0.000, 0.000, 0.199), Mg at (0.000, 0.500, 0.000) and Tl at (0.000, 0.257, 0.500).

The value obtained for the density of states at the Fermi level is 5.02 states/eV/cell. The total moment is 0.0 Bohr magnetons per cell.

---

Model two:
DFT (GGA-PBE) results for an optimized crystal structure of K2MgTl2.

It has space group P4/mbm (No. 127), with a = 7.949 Å, b = 7.949 Å, c = 5.963 Å, α = 90.00°, β = 90.00° and γ = 90.00°. The asymmetric unit holds K at (0.176, 0.324, 0.000), Mg at (0.000, 0.000, 0.500) and Tl at (0.138, 0.638, 0.500).

The value obtained for the density of states at the Fermi level is 7.74 states/eV/cell. The total moment is 0.0 Bohr magnetons per cell.

---

model one ends up most stable, edging out the next structure by 0.061 eV/atom.

---

Model one:
DFT (GGA-PBE) results for an optimized crystal structure of KMg2Tl6.

It has space group Fd-3m (No. 227, origin choice 2), with a = 13.797 Å, b = 13.797 Å, c = 13.797 Å, α = 90.00°, β = 90.00° and γ = 90.00°. The asymmetric unit holds K at (0.125, 0.125, 0.125), Mg at (0.000, 0.000, 0.500) and Tl at (0.124, 0.375, 0.875).

The value obtained for the density of states at the Fermi level is 36.92 states/eV/cell. The total moment is 0.0 Bohr magnetons per cell.

---

Model two:
DFT (GGA-PBE) results for an optimized crystal structure of KMg2Tl6.

It has space group C2/c (No. 15), with a = 15.989 Å, b = 11.656 Å, c = 5.956 Å, α = 90.00°, β = 101.89° and γ = 90.00°. The asymmetric unit holds K at (0.000, 0.112, 0.250), Mg at (0.153, 0.384, 0.109), Tl at (0.052, 0.381, 0.534), Tl at (0.145, 0.154, 0.823) and Tl at (0.236, 0.117, 0.360).

The value obtained for the density of states at the Fermi level is 15.88 states/eV/cell. The total moment is 0.0 Bohr magnetons per cell.

---

model two ends up most stable, edging out the next structure by 0.206 eV/atom.

---

Model one:
DFT (GGA-PBE) results for an optimized crystal structure of KMg2Tl.

It has space group I4_1/amd (No. 141, origin choice 2), with a = 5.902 Å, b = 5.902 Å, c = 19.876 Å, α = 90.00°, β = 90.00° and γ = 90.00°. The asymmetric unit holds K at (0.000, 0.250, 0.375), Mg at (0.000, 0.000, 0.000) and Tl at (0.000, 0.250, 0.875).

The value obtained for the density of states at the Fermi level is 9.80 states/eV/cell. The total moment is 0.0 Bohr magnetons per cell.

---

Model two:
DFT (GGA-PBE) results for an optimized crystal structure of KMg2Tl.

It has space group R-3m (No. 166, hexagonal axes), with a = 3.5899 Å, b = 3.5899 Å, c = 33.4873 Å, α = 90.00°, β = 90.00° and γ = 120.00°. The asymmetric unit holds K at (0.0000, 0.0000, 0.0000), Mg at (0.0000, 0.0000, 0.2376) and Tl at (0.0000, 0.0000, 0.5000).

The value obtained for the density of states at the Fermi level is 2.61 states/eV/cell. The total moment is 0.0 Bohr magnetons per cell.

---

Model three:
DFT (GGA-PBE) results for an optimized crystal structure of KMg2Tl.

It has space group I-4m2 (No. 119), with a = 5.463 Å, b = 5.463 Å, c = 7.958 Å, α = 90.00°, β = 90.00° and γ = 90.00°. The asymmetric unit holds K at (0.000, 0.000, 0.000), Mg at (0.000, 0.000, 0.500), Mg at (0.000, 0.500, 0.750) and Tl at (0.000, 0.500, 0.250).

The value obtained for the density of states at the Fermi level is 4.17 states/eV/cell. The total moment is 0.0 Bohr magnetons per cell.

---

Model four:
DFT (GGA-PBE) results for an optimized crystal structure of KMg2Tl.

It has space group Cmmm (No. 65), with a = 6.904 Å, b = 10.809 Å, c = 3.369 Å, α = 90.00°, β = 90.00° and γ = 90.00°. The asymmetric unit holds K at (0.000, 0.000, 0.000), Mg at (0.250, 0.250, 0.500) and Tl at (0.000, 0.500, 0.000).

The value obtained for the density of states at the Fermi level is 8.18 states/eV/cell. The total moment is 0.0 Bohr magnetons per cell.

---

model three ends up most stable, edging out the next structure by 0.034 eV/atom.

---

Model one:
DFT (GGA-PBE) results for an optimized crystal structure of KMgTl6.

It has space group R-3m (No. 166, hexagonal axes), with a = 5.4084 Å, b = 5.4084 Å, c = 29.4222 Å, α = 90.00°, β = 90.00° and γ = 120.00°. The asymmetric unit holds K at (0.0000, 0.0000, 0.0000), Mg at (0.0000, 0.0000, 0.5000), Tl at (0.0000, 0.0000, 0.1329), Tl at (0.0000, 0.0000, 0.2492) and Tl at (0.0000, 0.0000, 0.3935).

The value obtained for the density of states at the Fermi level is 8.31 states/eV/cell. The total moment is 0.0 Bohr magnetons per cell.

---

Model two:
DFT (GGA-PBE) results for an optimized crystal structure of KMgTl6.

It has space group P4/mmm (No. 123), with a = 5.345 Å, b = 5.345 Å, c = 9.516 Å, α = 90.00°, β = 90.00° and γ = 90.00°. The asymmetric unit holds K at (0.000, 0.000, 0.000), Mg at (0.000, 0.000, 0.500), Tl at (0.000, 0.500, 0.329) and Tl at (0.500, 0.500, 0.158).

The value obtained for the density of states at the Fermi level is 2.67 states/eV/cell. The total moment is 0.0 Bohr magnetons per cell.

---

model one ends up most stable, edging out the next structure by 0.031 eV/atom.